The following is a PBE calculation of a relaxed structure of BIrCl, from Alexandria via LeMat-Bulk.

Computed properties:
D(E_F) (states/eV/f.u.): 0.381
Final energy (eV/atom): -6.098
Calculated volume (Å³/atom): 21.0

Geometry as CIF:
```
data_BIrCl
_symmetry_space_group_name_H-M 'P c a 21'
_symmetry_Int_Tables_number 29
_symmetry_space_group_name_Hall 'P 2c -2ac'
_cell_length_a 5.443
_cell_length_b 9.328
_cell_length_c 4.964
_cell_angle_alpha 90.00
_cell_angle_beta 90.00
_cell_angle_gamma 90.00
loop_
_atom_site_label
_atom_site_fract_x
_atom_site_fract_y
_atom_site_fract_z
B1 0.094 0.143 0.000
Ir1 0.161 0.999 0.698
Cl1 0.025 0.324 0.026
```

---

The following is a PBE calculation of a relaxed structure of BIrCl2, from Alexandria via LeMat-Bulk.

Computed properties:
D(E_F) (states/eV/f.u.): 2.153
Final energy (eV/atom): -4.445
Polymorph energy (0 for the lowest one) (eV per atom): 0.000
Calculated volume (Å³/atom): 20.3

Geometry as CIF:
```
data_BIrCl2
_symmetry_space_group_name_H-M 'I -4 2 d'
_symmetry_Int_Tables_number 122
_symmetry_space_group_name_Hall 'I -4 2bw'
_cell_length_a 8.915
_cell_length_b 8.915
_cell_length_c 4.080
_cell_angle_alpha 90.00
_cell_angle_beta 90.00
_cell_angle_gamma 90.00
loop_
_atom_site_label
_atom_site_fract_x
_atom_site_fract_y
_atom_site_fract_z
B1 0.000 0.000 0.000
Ir1 0.000 0.000 0.500
Cl1 0.099 0.250 0.625
```

---

The following is a PBE calculation of a relaxed structure of B2IrCl, from Alexandria via LeMat-Bulk.

Computed properties:
D(E_F) (states/eV/f.u.): 1.035
Final energy (eV/atom): -5.446
Polymorph energy (0 for the lowest one) (eV per atom): 0.000
Calculated volume (Å³/atom): 15.8

Geometry as CIF:
```
data_B2IrCl
_symmetry_space_group_name_H-M 'I -4 2 d'
_symmetry_Int_Tables_number 122
_symmetry_space_group_name_Hall 'I -4 2bw'
_cell_length_a 5.036
_cell_length_b 5.036
_cell_length_c 9.994
_cell_angle_alpha 90.00
_cell_angle_beta 90.00
_cell_angle_gamma 90.00
loop_
_atom_site_label
_atom_site_fract_x
_atom_site_fract_y
_atom_site_fract_z
B1 0.182 0.250 0.125
Ir1 0.000 0.000 0.000
Cl1 0.000 0.000 0.500
```

---

The following is a PBE calculation of a relaxed structure of B3IrCl, from Alexandria via LeMat-Bulk.

Computed properties:
D(E_F) (states/eV/f.u.): 3.380
Final energy (eV/atom): -5.346
Polymorph energy (0 for the lowest one) (eV per atom): 0.000
Calculated volume (Å³/atom): 14.6

Geometry as CIF:
```
data_B3IrCl
_symmetry_space_group_name_H-M 'P m -3 m'
_symmetry_Int_Tables_number 221
_symmetry_space_group_name_Hall '-P 4 2 3'
_cell_length_a 4.179
_cell_length_b 4.179
_cell_length_c 4.179
_cell_angle_alpha 90.00
_cell_angle_beta 90.00
_cell_angle_gamma 90.00
loop_
_atom_site_label
_atom_site_fract_x
_atom_site_fract_y
_atom_site_fract_z
B1 0.000 0.000 0.500
Ir1 0.000 0.000 0.000
Cl1 0.500 0.500 0.500
```

---

The following is a PBE calculation of a relaxed structure of BIrCl2, from Alexandria via LeMat-Bulk.

Computed properties:
D(E_F) (states/eV/f.u.): 3.322
Final energy (eV/atom): -3.713
Polymorph energy (0 for the lowest one) (eV per atom): 0.732
Calculated volume (Å³/atom): 15.3

Geometry as CIF:
```
data_BIrCl2
_symmetry_space_group_name_H-M 'R -3 m'
_symmetry_Int_Tables_number 166
_symmetry_space_group_name_Hall '-R 3 2"'
_cell_length_a 3.0680
_cell_length_b 3.0680
_cell_length_c 22.5637
_cell_angle_alpha 90.00
_cell_angle_beta 90.00
_cell_angle_gamma 120.00
loop_
_atom_site_label
_atom_site_fract_x
_atom_site_fract_y
_atom_site_fract_z
B1 0.0000 0.0000 0.0000
Ir1 0.0000 0.0000 0.5000
Cl1 0.0000 0.0000 0.3985
```

---

The following is a PBE calculation of a relaxed structure of B3IrCl, from Alexandria via LeMat-Bulk.

Computed properties:
D(E_F) (states/eV/f.u.): 4.410
Final energy (eV/atom): -3.862
Polymorph energy (0 for the lowest one) (eV per atom): 1.484
Calculated volume (Å³/atom): 10.9

Geometry as CIF:
```
data_B3IrCl
_symmetry_space_group_name_H-M 'P m -3 m'
_symmetry_Int_Tables_number 221
_symmetry_space_group_name_Hall '-P 4 2 3'
_cell_length_a 3.792
_cell_length_b 3.792
_cell_length_c 3.792
_cell_angle_alpha 90.00
_cell_angle_beta 90.00
_cell_angle_gamma 90.00
loop_
_atom_site_label
_atom_site_fract_x
_atom_site_fract_y
_atom_site_fract_z
B1 0.000 0.000 0.500
Ir1 0.500 0.500 0.500
Cl1 0.000 0.000 0.000
```

---

The following is a PBE calculation of a relaxed structure of BIrCl2, from Alexandria via LeMat-Bulk.

Computed properties:
D(E_F) (states/eV/f.u.): 3.064
Final energy (eV/atom): -3.191
Polymorph energy (0 for the lowest one) (eV per atom): 1.254
Calculated volume (Å³/atom): 16.0

Geometry as CIF:
```
data_BIrCl2
_symmetry_space_group_name_H-M 'F m -3 m'
_symmetry_Int_Tables_number 225
_symmetry_space_group_name_Hall '-F 4 2 3'
_cell_length_a 6.343
_cell_length_b 6.343
_cell_length_c 6.343
_cell_angle_alpha 90.00
_cell_angle_beta 90.00
_cell_angle_gamma 90.00
loop_
_atom_site_label
_atom_site_fract_x
_atom_site_fract_y
_atom_site_fract_z
B1 0.000 0.000 0.000
Ir1 0.000 0.000 0.500
Cl1 0.250 0.250 0.250
```

---

The following is a PBE calculation of a relaxed structure of LiBIrCl2, from Alexandria via LeMat-Bulk.

Computed properties:
D(E_F) (states/eV/f.u.): 5.133
Final energy (eV/atom): -2.924
Calculated volume (Å³/atom): 18.0

Geometry as CIF:
```
data_LiBIrCl2
_symmetry_space_group_name_H-M 'P 4/m m m'
_symmetry_Int_Tables_number 123
_symmetry_space_group_name_Hall '-P 4 2'
_cell_length_a 4.313
_cell_length_b 4.313
_cell_length_c 4.840
_cell_angle_alpha 90.00
_cell_angle_beta 90.00
_cell_angle_gamma 90.00
loop_
_atom_site_label
_atom_site_fract_x
_atom_site_fract_y
_atom_site_fract_z
Li1 0.000 0.000 0.000
B1 0.500 0.500 0.500
Ir1 0.000 0.000 0.500
Cl1 0.000 0.500 0.000
```